TlRe2Se: optimized geometry, PBE-GGA.

a b c (Å): 3.1310 3.1302 6.9135
angles (deg): 90.00 90.00 90.00
Last column: nearest neighbours and their distance in Å.
Element x y z (fractional)
Tl  0.5000  0.5000  0.7500  8 Re 2.99, 4 Tl 3.13
Re  0.0000  0.0000  0.4586  4 Se 2.64, 1 Re 2.88
Re  0.0000  0.0000  0.0414  4 Se 2.64, 1 Re 2.88
Se  0.5000  0.5000  0.2500  8 Re 2.64

Output
Electronic total energy: -6.689 eV/atom
ΔE_f (raw): 0.9975 eV per atom
Space-group type: P4/mmm, No. 123
DOS at the Fermi energy: 3.943 states/eV/cell
Calculated density: 16.1 Mg/m³

***

Rb2NpI7: optimized geometry, PBE-GGA.

a b c (Å): 8.7955 12.4120 10.3914
angles (deg): 83.12 64.96 69.25
Last column: nearest neighbours and their distance in Å.
Element x y z (fractional)
Np  0.0499  0.7500  0.2500  7 I 3.00-3.18
Np  0.9501  0.2500  0.7500  7 I 3.00-3.18
I  0.3011  0.8363  0.9663  1 Np 3.18, 1 I 3.42
I  0.5882  0.2500  0.7500  1 Np 3.18, 2 I 3.42
I  0.8831  0.7725  0.0392  1 Np 3.05
I  0.8963  0.3363  0.4663  1 Np 3.18, 1 I 3.42
I  0.8796  0.9993  0.3461  1 Np 3.00
I  0.1204  0.0007  0.6539  1 Np 3.00
I  0.1037  0.6637  0.5337  1 Np 3.18, 1 I 3.42
I  0.7751  0.4993  0.8461  1 Np 3.00
I  0.6989  0.1637  0.0337  1 Np 3.18, 1 I 3.42
I  0.3052  0.2725  0.5392  1 Np 3.05
I  0.1169  0.2275  0.9608  1 Np 3.05
I  0.2249  0.5007  0.1539  1 Np 3.00
I  0.4118  0.7500  0.2500  1 Np 3.18, 2 I 3.42
I  0.6948  0.7275  0.4608  1 Np 3.05
Rb  0.6388  0.4208  0.2319  7 I 3.76-4.09
Rb  0.2916  0.0792  0.2681  7 I 3.76-4.09
Rb  0.3612  0.5792  0.7681  7 I 3.76-4.09
Rb  0.7084  0.9208  0.7319  7 I 3.76-4.09

Output
Electronic total energy: -3.496 eV/atom
ΔE_f (raw): -0.9232 eV per atom
Space-group type: C2/c, No. 15
DOS at the Fermi energy: 18.355 states/eV/cell
Calculated density: 4.5 Mg/m³

***

CdReBr2: optimized geometry, PBE-GGA.

a b c (Å): 5.2028 5.2028 5.2028
angles (deg): 125.87 125.87 80.11
Last column: nearest neighbours and their distance in Å.
Element x y z (fractional)
Br  0.5000  0.5000  0.0000  4 Re 3.09, 4 Cd 3.09, 4 Br 3.35
Br  0.0000  0.0000  0.0000  4 Cd 3.09, 4 Re 3.09, 4 Br 3.35
Cd  0.2500  0.7500  0.5000  8 Br 3.09, 4 Re 3.35
Re  0.7500  0.2500  0.5000  8 Br 3.09, 4 Cd 3.35

Output
Electronic total energy: -3.024 eV/atom
ΔE_f (raw): 1.1528 eV per atom
Space-group type: I4/mmm, No. 139
DOS at the Fermi energy: 2.120 states/eV/cell
Calculated density: 8.5 Mg/m³

***

Pm3Ga2Au3: optimized geometry, PBE-GGA.

a b c (Å): 4.5133 5.8915 15.1899
angles (deg): 90.00 90.00 112.52
Last column: nearest neighbours and their distance in Å.
Element x y z (fractional)
Pm  0.9098  0.8197  0.3979  4 Ga 3.16-3.34, 7 Au 3.20-3.32
Pm  0.0902  0.1803  0.8979  4 Ga 3.16-3.34, 7 Au 3.20-3.32
Pm  0.3825  0.7650  0.7500  5 Au 3.06-3.28, 4 Ga 3.33
Pm  0.6175  0.2350  0.2500  5 Au 3.06-3.28, 4 Ga 3.33
Pm  0.0902  0.1803  0.6021  4 Ga 3.16-3.34, 7 Au 3.20-3.32
Pm  0.9098  0.8197  0.1021  4 Ga 3.16-3.34, 7 Au 3.20-3.32
Ga  0.2061  0.4121  0.1018  3 Au 2.61-2.66
Ga  0.7939  0.5879  0.6018  3 Au 2.61-2.66
Ga  0.7939  0.5879  0.8982  3 Au 2.61-2.66
Ga  0.2061  0.4121  0.3982  3 Au 2.61-2.66
Au  0.3846  0.7692  0.5458  2 Ga 2.61, 1 Au 2.87
Au  0.6636  0.3271  0.7500  2 Ga 2.66
Au  0.6154  0.2308  0.4542  2 Ga 2.61, 1 Au 2.87
Au  0.6154  0.2308  0.0458  2 Ga 2.61, 1 Au 2.87
Au  0.3364  0.6729  0.2500  2 Ga 2.66
Au  0.3846  0.7692  0.9542  2 Ga 2.61, 1 Au 2.87

Output
Electronic total energy: -4.526 eV/atom
Formation energy: -0.759 eV per atom
Space-group type: Cmcm, No. 63
DOS at the Fermi energy: 11.506 states/eV/cell
Calculated density: 10.4 Mg/m³